This record from the Alexandria database describes a crystal of Y2SbRh relaxed with PBEsol. The functional is SCAN.

Values from the calculation:
Calculated total energy = -32.73 eV/atom
Formation energy (no corrections) = -24.3 kcal/mol of atoms
Magnetization = 0.00 μB/f.u.

abc: 4.2610 4.0061 10.9644
angles: 90.00 90.00 90.00
Space group Amm2 (No. 38)
Inequivalent atoms, fractional coordinates:
Y 0.0000 0.0000 0.0000 x2
Y 0.5000 0.0000 0.2915 x2
Sb 0.0000 0.0000 0.7152 x2
Rh 0.5000 0.0000 0.5504 x2